Record 1
Er7Ga5Sb | GGA-PBE | optimized geometry

Properties
Its calculated volume is 634.9 Å³/cell. Its total energy is -0.1602 Ha/atom. The value obtained for the total magnetic moment is 0.00 μB per cell.

abc: 6.0512 10.3400 10.1470
angles: 90.00 90.00 90.00
Space group Imm2 (No. 44)
Inequivalent atoms, fractional coordinates:
Er  0.0000  0.0000  0.0000 [2 per cell]
Er  0.0000  0.0000  0.3828 [2 per cell]
Er  0.0000  0.3162  0.6222 [4 per cell]
Er  0.0000  0.3290  0.0909 [4 per cell]
Er  0.0000  0.5000  0.3448 [2 per cell]
Ga  0.0000  0.5000  0.8476 [2 per cell]
Ga  0.2456  0.2532  0.3638 [8 per cell]
Sb  0.0000  0.0000  0.6860 [2 per cell]

=====

Record 2
Er5GaSb4 | GGA-PBE | optimized geometry

Properties
Its calculated volume is 567.7 Å³/cell. Its total energy is -0.1882 Ha/atom. The value obtained for the total magnetic moment is 0.00 μB per cell.

abc: 9.6504 9.6504 6.0963
angles: 90.00 90.00 90.00
Space group I4/m (No. 87)
Inequivalent atoms, fractional coordinates:
Er  0.0000  0.0000  0.0000 [2 per cell]
Er  0.1012  0.2965  0.5000 [8 per cell]
Ga  0.0000  0.0000  0.5000 [2 per cell]
Sb  0.0968  0.3009  0.0000 [8 per cell]

=====

Record 3
Er8Ga3Sb2 | GGA-PBE | optimized geometry

Properties
Its calculated volume is 715.6 Å³/cell. Its total energy is -0.1701 Ha/atom. The value obtained for the total magnetic moment is 0.00 μB per cell.

abc: 9.9383 14.6888 4.9017
angles: 90.00 90.00 90.00
Space group Cmmm (No. 65)
Inequivalent atoms, fractional coordinates:
Er  0.0000  0.1132  0.0000 [4 per cell]
Er  0.0000  0.3782  0.0000 [4 per cell]
Er  0.2436  0.3819  0.5000 [8 per cell]
Ga  0.0000  0.5000  0.5000 [2 per cell]
Ga  0.2438  0.0000  0.0000 [4 per cell]
Sb  0.0000  0.2402  0.5000 [4 per cell]

=====

Record 4
Er5Ga2Sb2 | GGA-PBE | optimized geometry

Properties
Its calculated volume is 939.0 Å³/cell. Its total energy is -0.1817 Ha/atom. The value obtained for the total magnetic moment is 0.00 μB per cell.

abc: 15.2344 7.8473 7.8543
angles: 90.00 90.00 90.00
Space group Cmce (No. 64)
Inequivalent atoms, fractional coordinates:
Er  0.0000  0.0000  0.0000 [4 per cell]
Er  0.1299  0.1696  0.3316 [16 per cell]
Ga  0.0000  0.1257  0.6245 [8 per cell]
Sb  0.2060  0.0000  0.0000 [8 per cell]

=====

Record 5
Er2GaSb | GGA-PBE | optimized geometry

Properties
For the distance to the lowest polymorph of the same formula, the calculation gives 0 meV per atom. Its calculated volume is 422.9 Å³/cell. Its total energy is -0.1798 Ha/atom. The value obtained for the total magnetic moment is 0.00 μB per cell.

abc: 4.3607 23.0484 4.2079
angles: 90.00 90.00 90.00
Space group Cmcm (No. 63)
Inequivalent atoms, fractional coordinates:
Er  0.0000  0.0600  0.2500 [4 per cell]
Er  0.0000  0.3235  0.2500 [4 per cell]
Ga  0.0000  0.4633  0.2500 [4 per cell]
Sb  0.0000  0.1896  0.2500 [4 per cell]

=====

Record 6
Er8Ga2Sb | GGA-PBE | optimized geometry

Properties
Its calculated volume is 608.4 Å³/cell. Its total energy is -0.1692 Ha/atom. The value obtained for the total magnetic moment is 0.00 μB per cell.

abc: 18.9910 4.8487 6.7726
angles: 90.00 102.71 90.00
Space group C2/m (No. 12)
Inequivalent atoms, fractional coordinates:
Er  0.0320  0.0000  0.2596 [4 per cell]
Er  0.0940  0.5000  0.9653 [4 per cell]
Er  0.1622  0.5000  0.4819 [4 per cell]
Er  0.2154  0.0000  0.8240 [4 per cell]
Ga  0.1870  0.0000  0.2514 [4 per cell]
Sb  0.0000  0.5000  0.5000 [2 per cell]

=====

Question: Which of these has the lowest calculated volume?
Answer: Er2GaSb